! Cr3MoF | the Alexandria database | GGA+U | optimized geometry; values from VASP
&SYSTEM
  ibrav = 0, nat = 5, ntyp = 3
/
ATOMIC_SPECIES
Cr 52.00 Cr.upf
Mo 95.94 Mo.upf
F 19.00 F.upf
CELL_PARAMETERS angstrom
4.4867 0.0000 0.0000
0.0000 4.4867 0.0000
0.0000 0.0000 4.4867
ATOMIC_POSITIONS angstrom
Cr 0.0000 0.0000 2.2434
Cr 0.0000 2.2434 0.0000
Cr 2.2434 0.0000 0.0000
Mo 2.2434 2.2434 2.2434
F 0.0000 0.0000 0.0000
! - Energy above the lowest structure with this stoichiometry: 0 meV per atom
! - Volume: 90.32 Å³/cell
! - Symmetry: No. 221